# PBE InRu2F, optimized geometry
# - energy relative to the elements, uncorrected (eV per formula unit) = 1.69
# - mass density (g/cm³) = 8.88
# - DOS at the Fermi energy (states/eV/f.u.) = 3.63
# - crystal system = cubic
# - energy relative to the lowest polymorph listed for this composition (eV/atom) = 0.3776
data_InRu2F
_chemical_formula_sum 'In4 Ru8 F4'
_cell_length_a 6.3109
_cell_length_b 6.3109
_cell_length_c 6.3109
_cell_angle_alpha 90.00
_cell_angle_beta 90.00
_cell_angle_gamma 90.00
_space_group_name_H-M_alt 'F m -3 m'
_space_group_IT_number 225
_space_group_name_Hall '-F 4 2 3'
loop_
_atom_site_label
_atom_site_type_symbol
_atom_site_fract_x
_atom_site_fract_y
_atom_site_fract_z
_atom_site_occupancy
In1 In 0.0000 0.0000 0.0000 1
Ru1 Ru 0.2500 0.2500 0.2500 1
F1 F 0.0000 0.0000 0.5000 1

***

# PBE La2Te, optimized geometry
# - energy relative to the elements, uncorrected (eV per formula unit) = -2.79
# - mass density (g/cm³) = 7.12
# - DOS at the Fermi energy (states/eV/f.u.) = 2.93
# - crystal system = tetragonal
data_La2Te
_chemical_formula_sum 'La16 Te8'
_cell_length_a 4.7206
_cell_length_b 4.7206
_cell_length_c 33.9293
_cell_angle_alpha 90.00
_cell_angle_beta 90.00
_cell_angle_gamma 90.00
_space_group_name_H-M_alt 'I 41/a m d'
_space_group_IT_number 141
loop_
_space_group_symop_operation_xyz
'x,y,z'
'-x,-y,-z'
'-y+1/4,x+3/4,z+1/4'
'y+1/4,-x+3/4,-z+1/4'
'-x+1/2,-y,z+1/2'
'x+1/2,y,-z+1/2'
'y+1/4,-x+1/4,z+3/4'
'-y+1/4,x+1/4,-z+3/4'
'x,-y,-z'
'-x,y,z'
'-y+1/4,-x+1/4,-z+3/4'
'y+1/4,x+1/4,z+3/4'
'-x+1/2,y,-z+1/2'
'x+1/2,-y,z+1/2'
'y+1/4,x+3/4,-z+1/4'
'-y+1/4,-x+3/4,z+1/4'
'x+1/2,y+1/2,z+1/2'
'-x+1/2,-y+1/2,-z+1/2'
'-y+3/4,x+1/4,z+3/4'
'y+3/4,-x+1/4,-z+3/4'
'-x,-y+1/2,z'
'x,y+1/2,-z'
'y+3/4,-x+3/4,z+1/4'
'-y+3/4,x+3/4,-z+1/4'
'x+1/2,-y+1/2,-z+1/2'
'-x+1/2,y+1/2,z+1/2'
'-y+3/4,-x+3/4,-z+1/4'
'y+3/4,x+3/4,z+1/4'
'-x,y+1/2,-z'
'x,-y+1/2,z'
'y+3/4,x+1/4,-z+3/4'
'-y+3/4,-x+1/4,z+3/4'
loop_
_atom_site_label
_atom_site_type_symbol
_atom_site_fract_x
_atom_site_fract_y
_atom_site_fract_z
_atom_site_occupancy
La1 La 0.0000 0.2500 0.1237 1
La2 La 0.0000 0.2500 0.2899 1
Te1 Te 0.0000 0.2500 0.8022 1